--- a ---
Re3PbBr | PBE-GGA | relaxed

As for the density of states at the Fermi level: 4.8 states/eV/f.u. The calculation puts the density at 13814 kg/m3.

The structure belongs to space group Pm-3m (No. 221); the cell edges are 4.667, 4.667 and 4.667 Å and the angles 90.00°, 90.00° and 90.00°. The asymmetric unit holds Re at (0.000, 0.000, 0.500), Pb at (0.500, 0.500, 0.500) and Br at (0.000, 0.000, 0.000).

---

--- b ---
Re3PbBr | PBE-GGA | relaxed

As for the density of states at the Fermi level: 5.9 states/eV/f.u. The calculation puts the density at 8580 kg/m3.

The structure belongs to space group Pm-3m (No. 221); the cell edges are 5.470, 5.470 and 5.470 Å and the angles 90.00°, 90.00° and 90.00°. The asymmetric unit holds Re at (0.000, 0.000, 0.500), Pb at (0.000, 0.000, 0.000) and Br at (0.500, 0.500, 0.500).

---

Which structure is the most stable? The one labeled a.

---

--- a ---
ReSb2PbBr | PBE-GGA | relaxed

As for the density of states at the Fermi level: 4.5 states/eV/f.u. The calculation puts the density at 8123 kg/m3.

The structure belongs to space group P4/mmm (No. 123); the cell edges are 5.143, 5.143 and 5.539 Å and the angles 90.00°, 90.00° and 90.00°. The asymmetric unit holds Re at (0.000, 0.000, 0.000), Sb at (0.000, 0.500, 0.000), Pb at (0.000, 0.000, 0.500) and Br at (0.500, 0.500, 0.500).

---

--- b ---
ReSb2PbBr | PBE-GGA | relaxed

As for the density of states at the Fermi level: 4.7 states/eV/f.u. The calculation puts the density at 6479 kg/m3.

The structure belongs to space group P4/mmm (No. 123); the cell edges are 5.853, 5.853 and 5.362 Å and the angles 90.00°, 90.00° and 90.00°. The asymmetric unit holds Re at (0.000, 0.000, 0.000), Sb at (0.000, 0.500, 0.500), Pb at (0.000, 0.000, 0.500) and Br at (0.500, 0.500, 0.000).

---

Which structure is the most stable? The one labeled a.

---

--- a ---
Rh2PbBr | PBE-GGA | relaxed

As for the density of states at the Fermi level: 7.3 states/eV/f.u. The calculation puts the density at 9793 kg/m3.

The structure belongs to space group P4mm (No. 99); the cell edges are 3.357, 3.357 and 7.415 Å and the angles 90.00°, 90.00° and 90.00°. The asymmetric unit holds Rh at (0.000, 0.000, 0.000), Rh at (0.500, 0.500, 0.165), Pb at (0.500, 0.500, 0.766) and Br at (0.000, 0.000, 0.396).

---

--- b ---
Rh2PbBr | PBE-GGA | relaxed

As for the density of states at the Fermi level: 3.4 states/eV/f.u. The calculation puts the density at 9189 kg/m3.

The structure belongs to space group I-42d (No. 122); the cell edges are 4.764, 4.764 and 15.699 Å and the angles 90.00°, 90.00° and 90.00°. The asymmetric unit holds Rh at (0.177, 0.250, 0.125), Pb at (0.000, 0.000, 0.500) and Br at (0.000, 0.000, 0.000).

---

Which structure is the most stable? The one labeled a.

---

--- a ---
Rh2PbBr | PBE-GGA | relaxed

As for the density of states at the Fermi level: 4.1 states/eV/f.u. The calculation puts the density at 10366 kg/m3.

The structure belongs to space group Imm2 (No. 44); the cell edges are 3.154, 4.134 and 12.111 Å and the angles 90.00°, 90.00° and 90.00°. The asymmetric unit holds Rh at (0.000, 0.000, 0.000), Rh at (0.000, 0.500, 0.299), Pb at (0.000, 0.000, 0.597) and Br at (0.000, 0.500, 0.829).

---

--- b ---
Rh2PbBr | PBE-GGA | relaxed

As for the density of states at the Fermi level: 7.2 states/eV/f.u. The calculation puts the density at 10693 kg/m3.

The structure belongs to space group P4/mmm (No. 123); the cell edges are 3.348, 3.348 and 6.829 Å and the angles 90.00°, 90.00° and 90.00°. The asymmetric unit holds Rh at (0.000, 0.000, 0.222), Pb at (0.500, 0.500, 0.000) and Br at (0.500, 0.500, 0.500).

---

--- c ---
Rh2PbBr | PBE-GGA | relaxed

As for the density of states at the Fermi level: 3.9 states/eV/f.u. The calculation puts the density at 10552 kg/m3.

The structure belongs to space group Immm (No. 71); the cell edges are 3.178, 5.509 and 8.860 Å and the angles 90.00°, 90.00° and 90.00°. The asymmetric unit holds Rh at (0.000, 0.000, 0.248), Pb at (0.000, 0.500, 0.000) and Br at (0.000, 0.500, 0.500).

---

--- d ---
Rh2PbBr | PBE-GGA | relaxed

As for the density of states at the Fermi level: 4.0 states/eV/f.u. The calculation puts the density at 10757 kg/m3.

The structure belongs to space group I-4m2 (No. 119); the cell edges are 3.871, 3.871 and 10.153 Å and the angles 90.00°, 90.00° and 90.00°. The asymmetric unit holds Rh at (0.000, 0.000, 0.000), Rh at (0.000, 0.500, 0.250), Pb at (0.000, 0.000, 0.500) and Br at (0.000, 0.500, 0.750).

---

Which structure is the most stable? The one labeled a.

---

--- a ---
Rh2PbBr | PBE-GGA | relaxed

As for the density of states at the Fermi level: 3.8 states/eV/f.u. The calculation puts the density at 10952 kg/m3.

The structure belongs to space group Fm-3m (No. 225); the cell edges are 6.686, 6.686 and 6.686 Å and the angles 90.00°, 90.00° and 90.00°. The asymmetric unit holds Rh at (0.250, 0.250, 0.250), Pb at (0.000, 0.000, 0.000) and Br at (0.000, 0.000, 0.500).

---

--- b ---
Rh2PbBr | PBE-GGA | relaxed

As for the density of states at the Fermi level: 4.1 states/eV/f.u. The calculation puts the density at 10545 kg/m3.

The structure belongs to space group Pmmm (No. 47); the cell edges are 3.192, 4.406 and 5.519 Å and the angles 90.00°, 90.00° and 90.00°. The asymmetric unit holds Rh at (0.000, 0.000, 0.000), Rh at (0.500, 0.000, 0.500), Pb at (0.000, 0.500, 0.500) and Br at (0.500, 0.500, 0.000).

---

Which structure is the most stable? The one labeled b.

---

--- a ---
Rh3PbBr | PBE-GGA | relaxed

As for the density of states at the Fermi level: 7.3 states/eV/f.u. The calculation puts the density at 9569 kg/m3.

The structure belongs to space group Pm-3m (No. 221); the cell edges are 4.694, 4.694 and 4.694 Å and the angles 90.00°, 90.00° and 90.00°. The asymmetric unit holds Rh at (0.000, 0.000, 0.500), Pb at (0.500, 0.500, 0.500) and Br at (0.000, 0.000, 0.000).

---

--- b ---
Rh3PbBr | PBE-GGA | relaxed

As for the density of states at the Fermi level: 7.7 states/eV/f.u. The calculation puts the density at 7514 kg/m3.

The structure belongs to space group Pm-3m (No. 221); the cell edges are 5.087, 5.087 and 5.087 Å and the angles 90.00°, 90.00° and 90.00°. The asymmetric unit holds Rh at (0.000, 0.000, 0.500), Pb at (0.000, 0.000, 0.000) and Br at (0.500, 0.500, 0.500).

---

Which structure is the most stable? The one labeled a.

---

--- a ---
Rh2PbBr2 | PBE-GGA | relaxed

As for the density of states at the Fermi level: 2.4 states/eV/f.u. The calculation puts the density at 7971 kg/m3.

The structure belongs to space group P4/mbm (No. 127); the cell edges are 6.998, 6.998 and 4.873 Å and the angles 90.00°, 90.00° and 90.00°. The asymmetric unit holds Rh at (0.128, 0.372, 0.000), Pb at (0.000, 0.000, 0.000) and Br at (0.187, 0.313, 0.500).

---

--- b ---
Rh2PbBr2 | PBE-GGA | relaxed

As for the density of states at the Fermi level: 5.5 states/eV/f.u. The calculation puts the density at 8647 kg/m3.

The structure belongs to space group I4/mmm (No. 139); the cell edges are 4.491, 4.491 and 10.909 Å and the angles 90.00°, 90.00° and 90.00°. The asymmetric unit holds Rh at (0.000, 0.000, 0.116), Pb at (0.000, 0.000, 0.500) and Br at (0.000, 0.500, 0.250).

---

Which structure is the most stable? The one labeled a.

---

--- a ---
Ru2PbBr | PBE-GGA | relaxed

As for the density of states at the Fermi level: 5.3 states/eV/f.u. The calculation puts the density at 10479 kg/m3.

The structure belongs to space group F-43m (No. 216); the cell edges are 6.769, 6.769 and 6.769 Å and the angles 90.00°, 90.00° and 90.00°. The asymmetric unit holds Ru at (0.000, 0.000, 0.000), Ru at (0.250, 0.250, 0.250), Pb at (0.250, 0.250, 0.750) and Br at (0.000, 0.000, 0.500).

---

--- b ---
Ru2PbBr | PBE-GGA | relaxed

As for the density of states at the Fermi level: 4.2 states/eV/f.u. The calculation puts the density at 10628 kg/m3.

The structure belongs to space group P2/m (No. 10); the cell edges are 3.165, 4.417 and 5.480 Å and the angles 90.00°, 93.84° and 90.00°. The asymmetric unit holds Ru at (0.210, 0.000, 0.300), Pb at (0.500, 0.500, 0.000) and Br at (0.000, 0.500, 0.500).

---

--- c ---
Ru2PbBr | PBE-GGA | relaxed

As for the density of states at the Fermi level: 2.0 states/eV/f.u. The calculation puts the density at 9736 kg/m3.

The structure belongs to space group P4mm (No. 99); the cell edges are 3.031, 3.031 and 9.081 Å and the angles 90.00°, 90.00° and 90.00°. The asymmetric unit holds Ru at (0.000, 0.000, 0.000), Ru at (0.500, 0.500, 0.169), Pb at (0.500, 0.500, 0.759) and Br at (0.000, 0.000, 0.369).

---

--- d ---
Ru2PbBr | PBE-GGA | relaxed

As for the density of states at the Fermi level: 5.4 states/eV/f.u. The calculation puts the density at 10094 kg/m3.

The structure belongs to space group Imm2 (No. 44); the cell edges are 3.023, 4.366 and 12.195 Å and the angles 90.00°, 90.00° and 90.00°. The asymmetric unit holds Ru at (0.000, 0.000, 0.000), Ru at (0.000, 0.500, 0.327), Pb at (0.000, 0.000, 0.592) and Br at (0.000, 0.500, 0.810).

---

Which structure is the most stable? The one labeled c.